Crystalline La4AlCu at its relaxed geometry, computed with PBE.

a = 7.2930 Å, b = 5.4710 Å, c = 9.6924 Å
α = 65.65°, β = 90.00°, γ = 90.00°
Atoms (fractional coordinates):
La (0.7500, 0.3914, 0.4515)
La (0.2500, 0.6086, 0.5485)
La (0.7500, 0.3318, 0.8764)
La (0.2500, 0.6682, 0.1236)
La (0.9782, 0.1058, 0.2215)
La (0.4782, 0.8942, 0.7785)
La (0.5218, 0.1058, 0.2215)
La (0.0218, 0.8942, 0.7785)
Al (0.7500, 0.6878, 0.0872)
Al (0.2500, 0.3123, 0.9128)
Cu (0.7500, 0.8072, 0.5532)
Cu (0.2500, 0.1928, 0.4468)

Properties
DFT formation energy ... -0.1601 eV per atom
Space-group type ... P2_1/m
Energy ... -4.75 eV/atom
Calculated volume ... 29.361 Å³/atom
DOS at the Fermi energy ... 11.77 states/eV per cell

Crystalline La2AlCu at its relaxed geometry, computed with PBE.

a = 3.6054 Å, b = 4.7737 Å, c = 6.3899 Å
α = 90.00°, β = 90.00°, γ = 90.00°
Atoms (fractional coordinates):
Al (0.0000, 0.0000, 0.4629)
Cu (0.5000, 0.5000, 0.7879)
La (0.0000, 0.0000, 0.9397)
La (0.5000, 0.5000, 0.3096)

Properties
DFT formation energy ... 0.0283 eV per atom
Space-group type ... Pmm2
Energy ... -4.40 eV/atom
Calculated volume ... 27.494 Å³/atom
DOS at the Fermi energy ... 3.20 states/eV per cell